! P4OsBr (PBE, optimized geometry); values from VASP
&SYSTEM
  ibrav = 0, nat = 6, ntyp = 3
/
ATOMIC_SPECIES
P 30.97 P.upf
Os 190.23 Os.upf
Br 79.90 Br.upf
CELL_PARAMETERS angstrom
0.0000 3.8630 3.8630
3.8630 0.0000 3.8630
3.8630 3.8630 0.0000
ATOMIC_POSITIONS crystal
P 0.3965 0.3965 0.3965
P 0.3965 0.3965 0.8104
P 0.3965 0.8104 0.3965
P 0.8104 0.3965 0.3965
Os 0.0000 0.0000 0.0000
Br 0.7500 0.7500 0.7500
! - uncorrected formation energy (eV/atom) = 1.222
! - crystal system = cubic
! - space-group type = F-43m

=====

! PaGa4Cu (PBE, optimized geometry); values from VASP
&SYSTEM
  ibrav = 0, nat = 12, ntyp = 3
/
ATOMIC_SPECIES
Pa 231.04 Pa.upf
Ga 69.72 Ga.upf
Cu 63.55 Cu.upf
CELL_PARAMETERS angstrom
2.0681 -8.0342 0.0000
2.0681 8.0342 0.0000
0.0000 0.0000 6.4609
ATOMIC_POSITIONS crystal
Pa 0.1081 0.8919 0.7500
Pa 0.8919 0.1081 0.2500
Ga 0.0733 0.9267 0.2500
Ga 0.3168 0.6832 0.5465
Ga 0.3168 0.6832 0.9535
Ga 0.5000 0.5000 0.0000
Ga 0.5000 0.5000 0.5000
Ga 0.6832 0.3168 0.0465
Ga 0.6832 0.3168 0.4535
Ga 0.9267 0.0733 0.7500
Cu 0.2232 0.7768 0.2500
Cu 0.7768 0.2232 0.7500
! - calculated formation energy (kJ per mole of atoms) = -26
! - crystal system = orthorhombic
! - space-group type = Cmcm

=====

! CrFeRh2 (PBE, optimized geometry); values from VASP
&SYSTEM
  ibrav = 0, nat = 8, ntyp = 3
/
ATOMIC_SPECIES
Cr 52.00 Cr.upf
Fe 55.84 Fe.upf
Rh 102.91 Rh.upf
CELL_PARAMETERS angstrom
4.0058 0.0000 0.0000
0.0000 2.6904 0.0000
0.0000 0.0000 9.6887
ATOMIC_POSITIONS crystal
Cr 0.0000 0.0000 0.0000
Cr 0.0000 0.5000 0.5000
Fe 0.5000 0.0000 0.1281
Fe 0.5000 0.5000 0.6281
Rh 0.0000 0.0000 0.7325
Rh 0.0000 0.5000 0.2325
Rh 0.5000 0.0000 0.3953
Rh 0.5000 0.5000 0.8953
! - calculated formation energy (kJ per mole of atoms) = -4
! - crystal system = orthorhombic
! - space-group type = Amm2

=====

! HfMnNi10 (PBE, optimized geometry); values from VASP
&SYSTEM
  ibrav = 0, nat = 12, ntyp = 3
/
ATOMIC_SPECIES
Hf 178.49 Hf.upf
Mn 54.94 Mn.upf
Ni 58.69 Ni.upf
CELL_PARAMETERS angstrom
3.9786 0.0000 0.0000
0.0000 4.6944 0.0000
0.0000 0.0000 8.0868
ATOMIC_POSITIONS crystal
Hf 0.0000 0.0000 0.0000
Mn 0.0000 0.5000 0.5000
Ni 0.0000 0.0000 0.3359
Ni 0.0000 0.0000 0.6641
Ni 0.0000 0.5000 0.1710
Ni 0.0000 0.5000 0.8290
Ni 0.5000 0.0000 0.5000
Ni 0.5000 0.2484 0.2489
Ni 0.5000 0.2484 0.7511
Ni 0.5000 0.5000 0.0000
Ni 0.5000 0.7516 0.2489
Ni 0.5000 0.7516 0.7511
! - calculated formation energy (kJ per mole of atoms) = -7
! - crystal system = orthorhombic
! - space-group type = Pmmm

=====

! Pm6InSn8 (PBE, optimized geometry); values from VASP
&SYSTEM
  ibrav = 0, nat = 15, ntyp = 3
/
ATOMIC_SPECIES
Pm 145.00 Pm.upf
In 114.82 In.upf
Sn 118.71 Sn.upf
CELL_PARAMETERS angstrom
9.1836 0.0000 0.0000
-4.5918 7.9532 0.0000
0.0000 0.0000 6.4197
ATOMIC_POSITIONS crystal
Pm 0.0699 0.3873 0.2340
Pm 0.3174 0.9301 0.2340
Pm 0.3873 0.3174 0.7660
Pm 0.6127 0.6826 0.2340
Pm 0.6826 0.0699 0.7660
Pm 0.9301 0.6127 0.7660
In 0.0000 0.0000 0.0000
Sn 0.0609 0.3480 0.7249
Sn 0.2871 0.9391 0.7249
Sn 0.3333 0.6667 0.9068
Sn 0.3480 0.2871 0.2751
Sn 0.6520 0.7129 0.7249
Sn 0.6667 0.3333 0.0932
Sn 0.7129 0.0609 0.2751
Sn 0.9391 0.6520 0.2751
! - calculated formation energy (kJ per mole of atoms) = -52
! - crystal system = trigonal
! - space-group type = P-3

=====

! Hf2PaTi (PBE, optimized geometry); values from VASP
&SYSTEM
  ibrav = 0, nat = 12, ntyp = 3
/
ATOMIC_SPECIES
Hf 178.49 Hf.upf
Pa 231.04 Pa.upf
Ti 47.87 Ti.upf
CELL_PARAMETERS angstrom
3.1223 0.0000 0.0000
-1.5612 2.7040 0.0000
0.0000 0.0000 31.0316
ATOMIC_POSITIONS crystal
Hf 0.0000 0.0000 0.0000
Hf 0.0000 0.0000 0.1771
Hf 0.3333 0.6667 0.6667
Hf 0.3333 0.6667 0.8437
Hf 0.6667 0.3333 0.3333
Hf 0.6667 0.3333 0.5104
Pa 0.0000 0.0000 0.7553
Pa 0.3333 0.6667 0.4220
Pa 0.6667 0.3333 0.0887
Ti 0.0000 0.0000 0.5884
Ti 0.3333 0.6667 0.2551
Ti 0.6667 0.3333 0.9218
! - calculated formation energy (kJ per mole of atoms) = 7
! - crystal system = trigonal
! - E above lowest polymorph (meV per atom) = 0.0
! - space-group type = R3m

=====

! ThIrS (PBE, optimized geometry); values from VASP
&SYSTEM
  ibrav = 0, nat = 6, ntyp = 3
/
ATOMIC_SPECIES
Th 232.04 Th.upf
Ir 192.22 Ir.upf
S 32.06 S.upf
CELL_PARAMETERS angstrom
3.8099 0.0000 0.0000
0.0000 3.8099 0.0000
0.0000 0.0000 8.8244
ATOMIC_POSITIONS crystal
Th 0.2500 0.2500 0.2359
Th 0.7500 0.7500 0.7641
Ir 0.2500 0.2500 0.5399
Ir 0.7500 0.7500 0.4601
S 0.2500 0.2500 0.8761
S 0.7500 0.7500 0.1239
! - uncorrected formation energy (eV/atom) = -1.160
! - crystal system = tetragonal
! - space-group type = P4/nmm

=====

! Rb2Sc3O5 (PBE, optimized geometry); values from VASP
&SYSTEM
  ibrav = 0, nat = 20, ntyp = 3
/
ATOMIC_SPECIES
Rb 85.47 Rb.upf
Sc 44.96 Sc.upf
O 16.00 O.upf
CELL_PARAMETERS angstrom
5.3714 -7.9898 0.0000
5.3714 7.9898 0.0000
-3.2017 0.0000 4.9595
ATOMIC_POSITIONS crystal
Rb 0.0472 0.6507 0.8547
Rb 0.3493 0.9528 0.6453
Rb 0.6507 0.0472 0.3547
Rb 0.9528 0.3493 0.1453
Sc 0.1150 0.2046 0.6693
Sc 0.2046 0.1150 0.1693
Sc 0.4727 0.5273 0.7500
Sc 0.5273 0.4727 0.2500
Sc 0.7954 0.8850 0.8307
Sc 0.8850 0.7954 0.3307
O 0.0001 0.9999 0.2500
O 0.9999 0.0001 0.7500
O 0.0068 0.3284 0.6408
O 0.2856 0.3277 0.0937
O 0.3284 0.0068 0.1408
O 0.3277 0.2856 0.5937
O 0.6723 0.7144 0.4063
O 0.6716 0.9932 0.8592
O 0.7144 0.6723 0.9063
O 0.9932 0.6716 0.3592
! - uncorrected formation energy (eV/atom) = -2.490
! - crystal system = monoclinic
! - space-group type = C2/c

=====

! SrCeMg4 (PBE, optimized geometry); values from VASP
&SYSTEM
  ibrav = 0, nat = 6, ntyp = 3
/
ATOMIC_SPECIES
Sr 87.62 Sr.upf
Ce 140.12 Ce.upf
Mg 24.30 Mg.upf
CELL_PARAMETERS angstrom
0.0000 4.4275 4.4275
4.4275 0.0000 4.4275
4.4275 4.4275 0.0000
ATOMIC_POSITIONS crystal
Sr 0.0000 0.0000 0.0000
Ce 0.7500 0.7500 0.7500
Mg 0.3762 0.3762 0.3762
Mg 0.3762 0.3762 0.8715
Mg 0.3762 0.8715 0.3762
Mg 0.8715 0.3762 0.3762
! - calculated formation energy (kJ per mole of atoms) = 0
! - crystal system = cubic
! - space-group type = F-43m

=====

! TaCuH2S4 (PBE, optimized geometry); values from VASP
&SYSTEM
  ibrav = 0, nat = 8, ntyp = 4
/
ATOMIC_SPECIES
Ta 180.95 Ta.upf
Cu 63.55 Cu.upf
H 1.01 H.upf
S 32.06 S.upf
CELL_PARAMETERS angstrom
5.7616 0.0000 0.0000
0.0316 5.8330 0.0000
2.6845 2.4507 5.2506
ATOMIC_POSITIONS crystal
Ta 0.0000 0.0000 0.0000
Cu 0.7461 0.2277 0.4932
H 0.0170 0.6881 0.4612
H 0.4360 0.2865 0.9604
S 0.0634 0.6128 0.2713
S 0.3820 0.3290 0.7592
S 0.6605 0.1445 0.2129
S 0.9282 0.9393 0.7096
! - crystal system = triclinic
! - space-group type = P1
! - VASP energy (eV for the cell shown) = -42.5

=====

! Li2BeOs (PBE, optimized geometry); values from VASP
&SYSTEM
  ibrav = 0, nat = 4, ntyp = 3
/
ATOMIC_SPECIES
Li 6.94 Li.upf
Be 9.01 Be.upf
Os 190.23 Os.upf
CELL_PARAMETERS angstrom
2.6048 0.0000 0.0000
0.0000 4.0759 0.0000
0.0000 0.0000 4.4752
ATOMIC_POSITIONS crystal
Li 0.0000 0.0000 0.0000
Li 0.5000 0.5000 0.0000
Be 0.0000 0.5000 0.5000
Os 0.5000 0.0000 0.5000
! - calculated formation energy (kJ per mole of atoms) = 6
! - crystal system = orthorhombic
! - space-group type = Pmmm

=====

! KYPd2 (PBE, optimized geometry); values from VASP
&SYSTEM
  ibrav = 0, nat = 16, ntyp = 3
/
ATOMIC_SPECIES
K 39.10 K.upf
Y 88.91 Y.upf
Pd 106.42 Pd.upf
CELL_PARAMETERS angstrom
7.8735 0.0000 0.0000
0.0000 7.8735 0.0000
0.0000 0.0000 6.4704
ATOMIC_POSITIONS crystal
K 0.0000 0.0000 0.0000
K 0.0000 0.5000 0.2500
K 0.5000 0.0000 0.7500
K 0.5000 0.5000 0.5000
Y 0.0000 0.0000 0.5000
Y 0.0000 0.5000 0.7500
Y 0.5000 0.0000 0.2500
Y 0.5000 0.5000 0.0000
Pd 0.2235 0.2500 0.6250
Pd 0.2500 0.7235 0.8750
Pd 0.2500 0.7765 0.3750
Pd 0.2765 0.2500 0.1250
Pd 0.7235 0.7500 0.1250
Pd 0.7500 0.2235 0.3750
Pd 0.7500 0.2765 0.8750
Pd 0.7765 0.7500 0.6250
! - calculated formation energy (kJ per mole of atoms) = -6
! - crystal system = tetragonal
! - E above lowest polymorph (meV per atom) = 152.0
! - space-group type = I-42d

=====

> Number 1 is which compound?

P4OsBr